SrZr2Fe | PBE-GGA | optimized geometry

Structure (POSCAR):
```
SrZr2Fe
1.0
-0.179 -1.992 2.772
3.408 -0.265 0.030
0.491 6.877 4.974
Fe Sr Zr
1 1 2
Direct
0.000 0.000 0.434
0.500 0.500 0.707
0.000 0.000 0.065
0.500 0.500 0.295
```

Summary:
**VASP energy**: -26.2 eV/cell
**ρ**: 5.4 g/cm³
**Energy above the most stable polymorph in this dataset**: 0.0537 eV/atom